{
  "formula": "Li3Pd6Pt",
  "functional": "PBE",
  "state": "relaxed",
  "lattice_angstrom": [[4.025, 0.000, 0.000], [0.000, 8.046, -1.523], [0.000, 0.890, 8.623]],
  "species": ["Pd", "Pd", "Pd", "Pd", "Pd", "Pd", "Pd", "Pd", "Pd", "Pd", "Pd", "Pd", "Li", "Li", "Li", "Li", "Li", "Li", "Pt", "Pt"],
  "fractional_positions": [[0.750, 0.538, 0.894], [0.750, 0.370, 0.317], [0.750, 0.725, 0.476], [0.750, 0.845, 0.787], [0.250, 0.462, 0.106], [0.750, 0.171, 0.718], [0.250, 0.155, 0.213], [0.250, 0.829, 0.282], [0.250, 0.630, 0.683], [0.250, 0.055, 0.905], [0.250, 0.275, 0.524], [0.750, 0.945, 0.095], [0.750, 0.251, 0.026], [0.250, 0.749, 0.974], [0.250, 0.548, 0.393], [0.750, 0.452, 0.607], [0.750, 0.649, 0.180], [0.250, 0.351, 0.820], [0.750, 0.051, 0.406], [0.250, 0.949, 0.594]],
  "dos_ef_per_ev_atom": 1.173,
  "crystal_system": "monoclinic",
  "polymorph_energy_mev_per_atom": 0,
  "magmom_total_mub_per_cell": 0.00,
  "dft_energy_ev_per_cell": -91.13
}